# 1
## NaBe3B (PBE)

Data for a relaxed NaBe3B crystal.

Values from the calculation:
- distance to the lowest polymorph of the same formula (meV per atom) = 2217
- volume (A^3/atom) = 16.8
- uncorrected energy (eV per atom) = -1.218
- E_form (eV per atom) = 2.62

a = 4.381 Å, b = 4.381 Å, c = 4.381 Å
α = 90.00°, β = 90.00°, γ = 90.00°
Space group Pm-3m (No. 221)
Unique sites:
Na 0.000 0.000 0.000 x1
Be 0.000 0.000 0.500 x3
B 0.500 0.500 0.500 x1

***

# 2
## Na3BeB (PBE)

Data for a relaxed Na3BeB crystal.

Values from the calculation:
- distance to the lowest polymorph of the same formula (meV per atom) = 0
- volume (A^3/atom) = 26.4
- uncorrected energy (eV per atom) = -1.679
- E_form (eV per atom) = 1.19

a = 5.093 Å, b = 5.093 Å, c = 5.093 Å
α = 90.00°, β = 90.00°, γ = 90.00°
Space group Pm-3m (No. 221)
Unique sites:
Na 0.000 0.000 0.500 x3
Be 0.500 0.500 0.500 x1
B 0.000 0.000 0.000 x1